[1]
# NaTmAgPb GGA-PBE relaxed
data_NaTmAgPb
_cell_length_a 5.180
_cell_length_b 5.180
_cell_length_c 5.180
_cell_angle_alpha 60.00
_cell_angle_beta 60.00
_cell_angle_gamma 60.00
_space_group_name_H-M_alt 'P 1'
_space_group_IT_number 1
_space_group_name_Hall 'P 1'
loop_
_atom_site_label
_atom_site_fract_x
_atom_site_fract_y
_atom_site_fract_z
Ag1 0.250 0.250 0.250
Tm1 0.000 0.000 0.000
Na1 0.500 0.500 0.500
Pb1 0.750 0.750 0.750
# Electronic total energy = -3.302 eV per atom
# ρ = 8.56 g cm⁻³
# Formation energy from the elements = -215 meV/atom

=====

[2]
# TiBP3 GGA-PBE relaxed
data_TiBP3
_cell_length_a 4.668
_cell_length_b 4.668
_cell_length_c 4.668
_cell_angle_alpha 90.00
_cell_angle_beta 90.00
_cell_angle_gamma 90.00
_space_group_name_H-M_alt 'P 1'
_space_group_IT_number 1
_space_group_name_Hall 'P 1'
loop_
_atom_site_label
_atom_site_fract_x
_atom_site_fract_y
_atom_site_fract_z
P1 0.000 0.000 0.500
P2 0.000 0.500 0.000
P3 0.500 0.000 0.000
Ti1 0.000 0.000 0.000
B1 0.500 0.500 0.500
# E above lowest polymorph = 2.97 eV/f.u.
# Electronic total energy = -5.016 eV per atom
# ρ = 2.48 g cm⁻³
# Formation energy from the elements = 1144 meV/atom

=====

[3]
# Ba3CaNb GGA-PBE relaxed
data_Ba3CaNb
_cell_length_a 6.249
_cell_length_b 6.249
_cell_length_c 6.249
_cell_angle_alpha 90.00
_cell_angle_beta 90.00
_cell_angle_gamma 90.00
_space_group_name_H-M_alt 'P 1'
_space_group_IT_number 1
_space_group_name_Hall 'P 1'
loop_
_atom_site_label
_atom_site_fract_x
_atom_site_fract_y
_atom_site_fract_z
Ba1 0.500 0.000 0.000
Ba2 0.000 0.500 0.000
Ba3 0.000 0.000 0.500
Ca1 0.500 0.500 0.500
Nb1 0.000 0.000 0.000
# E above lowest polymorph = 0.00 eV/f.u.
# Electronic total energy = -2.895 eV per atom
# ρ = 3.71 g cm⁻³
# Formation energy from the elements = 673 meV/atom

=====

[4]
# Th2Sc3Bi2 GGA-PBE relaxed
data_Th2Sc3Bi2
_cell_length_a 4.166
_cell_length_b 6.414
_cell_length_c 8.531
_cell_angle_alpha 111.66
_cell_angle_beta 90.00
_cell_angle_gamma 108.95
_space_group_name_H-M_alt 'P 1'
_space_group_IT_number 1
_space_group_name_Hall 'P 1'
loop_
_atom_site_label
_atom_site_fract_x
_atom_site_fract_y
_atom_site_fract_z
Bi1 0.836 0.672 0.783
Bi2 0.164 0.328 0.217
Sc1 0.616 0.232 0.448
Sc2 0.500 0.000 0.000
Sc3 0.384 0.768 0.552
Th1 0.123 0.247 0.784
Th2 0.877 0.753 0.216
# Electronic total energy = -6.298 eV per atom
# ρ = 8.51 g cm⁻³
# Formation energy from the elements = -356 meV/atom

=====

[5]
# Sr2TaVRu GGA-PBE relaxed
data_Sr2TaVRu
_cell_length_a 5.784
_cell_length_b 4.508
_cell_length_c 5.784
_cell_angle_alpha 90.00
_cell_angle_beta 90.00
_cell_angle_gamma 90.00
_space_group_name_H-M_alt 'P 1'
_space_group_IT_number 1
_space_group_name_Hall 'P 1'
loop_
_atom_site_label
_atom_site_fract_x
_atom_site_fract_y
_atom_site_fract_z
Sr1 0.500 0.000 0.000
Sr2 0.000 0.000 0.500
Ta1 0.500 0.500 0.500
V1 0.000 0.500 0.000
Ru1 0.000 0.000 0.000
# Electronic total energy = -5.364 eV per atom
# ρ = 5.60 g cm⁻³
# Formation energy from the elements = 1358 meV/atom

=====

[6]
# PmTm2Tl GGA-PBE relaxed
data_PmTm2Tl
_cell_length_a 4.802
_cell_length_b 4.677
_cell_length_c 11.106
_cell_angle_alpha 102.20
_cell_angle_beta 90.00
_cell_angle_gamma 90.00
_space_group_name_H-M_alt 'P 1'
_space_group_IT_number 1
_space_group_name_Hall 'P 1'
loop_
_atom_site_label
_atom_site_fract_x
_atom_site_fract_y
_atom_site_fract_z
Pm1 0.250 0.308 0.616
Pm2 0.750 0.692 0.384
Tl1 0.750 0.838 0.676
Tl2 0.250 0.162 0.324
Tm1 0.750 0.444 0.888
Tm2 0.250 0.556 0.112
Tm3 0.250 0.936 0.873
Tm4 0.750 0.064 0.127
# E above lowest polymorph = 0.05 eV/f.u.
# Electronic total energy = -4.176 eV per atom
# ρ = 9.36 g cm⁻³
# Formation energy from the elements = -161 meV/atom

=====

[7]
# PmDy7Y2 GGA-PBE relaxed
data_PmDy7Y2
_cell_length_a 5.234
_cell_length_b 9.692
_cell_length_c 9.692
_cell_angle_alpha 127.32
_cell_angle_beta 90.00
_cell_angle_gamma 90.00
_space_group_name_H-M_alt 'P 1'
_space_group_IT_number 1
_space_group_name_Hall 'P 1'
loop_
_atom_site_label
_atom_site_fract_x
_atom_site_fract_y
_atom_site_fract_z
Dy1 0.000 0.196 0.804
Dy2 0.500 0.288 0.071
Dy3 0.500 0.071 0.288
Dy4 0.500 0.929 0.712
Dy5 0.500 0.712 0.929
Dy6 0.000 0.804 0.196
Dy7 0.500 0.500 0.500
Y1 0.500 0.297 0.703
Y2 0.500 0.703 0.297
Pm1 0.000 0.000 0.000
# E above lowest polymorph = 6.55 eV/f.u.
# Electronic total energy = -4.286 eV per atom
# ρ = 6.20 g cm⁻³
# Formation energy from the elements = 704 meV/atom

=====

[8]
# Ca3Se GGA-PBE relaxed
data_Ca3Se
_cell_length_a 4.683
_cell_length_b 4.689
_cell_length_c 6.400
_cell_angle_alpha 90.00
_cell_angle_beta 90.00
_cell_angle_gamma 90.00
_space_group_name_H-M_alt 'P 1'
_space_group_IT_number 1
_space_group_name_Hall 'P 1'
loop_
_atom_site_label
_atom_site_fract_x
_atom_site_fract_y
_atom_site_fract_z
Ca1 0.000 0.000 0.973
Ca2 0.500 0.500 0.973
Ca3 0.500 0.000 0.460
Se1 0.000 0.500 0.261
# E above lowest polymorph = 1.27 eV/f.u.
# Electronic total energy = -2.962 eV per atom
# ρ = 2.35 g cm⁻³
# E_form (uncorrected) = -590 meV/atom

=====

[9]
# VMoW GGA-PBE relaxed
data_VMoW
_cell_length_a 4.424
_cell_length_b 4.402
_cell_length_c 9.332
_cell_angle_alpha 90.00
_cell_angle_beta 90.00
_cell_angle_gamma 90.00
_space_group_name_H-M_alt 'P 1'
_space_group_IT_number 1
_space_group_name_Hall 'P 1'
loop_
_atom_site_label
_atom_site_fract_x
_atom_site_fract_y
_atom_site_fract_z
Mo1 0.000 0.500 0.064
Mo2 0.500 0.500 0.895
Mo3 0.500 0.000 0.395
Mo4 0.000 0.000 0.564
W1 0.000 0.500 0.398
W2 0.500 0.500 0.230
W3 0.000 0.000 0.898
W4 0.500 0.000 0.730
V1 0.000 0.500 0.728
V2 0.500 0.500 0.563
V3 0.000 0.000 0.228
V4 0.500 0.000 0.063
# E above lowest polymorph = 0.02 eV/f.u.
# Electronic total energy = -11.080 eV per atom
# ρ = 12.09 g cm⁻³
# Formation energy from the elements = -112 meV/atom

=====

[10]
# MnAs GGA-PBE relaxed
data_MnAs
_cell_length_a 5.126
_cell_length_b 5.126
_cell_length_c 5.126
_cell_angle_alpha 141.24
_cell_angle_beta 132.81
_cell_angle_gamma 62.66
_space_group_name_H-M_alt 'P 1'
_space_group_IT_number 1
_space_group_name_Hall 'P 1'
loop_
_atom_site_label
_atom_site_fract_x
_atom_site_fract_y
_atom_site_fract_z
As1 0.636 0.386 0.750
As2 0.364 0.614 0.250
Mn1 0.138 0.888 0.750
Mn2 0.862 0.112 0.250
# Electronic total energy = -6.816 eV per atom
# ρ = 7.05 g cm⁻³
# Formation energy from the elements = 93 meV/atom

=====

[11]
# Tb2Pm3HoSe6 GGA-PBE relaxed
data_Tb2Pm3HoSe6
_cell_length_a 4.112
_cell_length_b 8.346
_cell_length_c 9.277
_cell_angle_alpha 103.85
_cell_angle_beta 102.80
_cell_angle_gamma 90.00
_space_group_name_H-M_alt 'P 1'
_space_group_IT_number 1
_space_group_name_Hall 'P 1'
loop_
_atom_site_label
_atom_site_fract_x
_atom_site_fract_y
_atom_site_fract_z
Tb1 0.833 0.666 0.666
Tb2 0.167 0.334 0.334
Pm1 0.168 0.833 0.335
Pm2 0.832 0.167 0.665
Pm3 0.500 0.500 0.000
Se1 0.998 0.758 0.996
Se2 0.668 0.578 0.337
Se3 0.337 0.912 0.674
Se4 0.002 0.242 0.004
Se5 0.332 0.422 0.663
Se6 0.663 0.088 0.326
Ho1 0.500 0.000 0.000
# Electronic total energy = -5.882 eV per atom
# ρ = 7.68 g cm⁻³
# E_form (uncorrected) = -1799 meV/atom

=====

[12]
# HoEr2Zn9 GGA-PBE relaxed
data_HoEr2Zn9
_cell_length_a 5.416
_cell_length_b 5.416
_cell_length_c 9.075
_cell_angle_alpha 72.64
_cell_angle_beta 72.64
_cell_angle_gamma 60.00
_space_group_name_H-M_alt 'P 1'
_space_group_IT_number 1
_space_group_name_Hall 'P 1'
loop_
_atom_site_label
_atom_site_fract_x
_atom_site_fract_y
_atom_site_fract_z
Er1 0.140 0.140 0.581
Er2 0.860 0.860 0.419
Zn1 0.665 0.665 0.005
Zn2 0.586 0.586 0.752
Zn3 0.586 0.077 0.752
Zn4 0.414 0.923 0.248
Zn5 0.500 0.500 0.500
Zn6 0.077 0.586 0.752
Zn7 0.414 0.414 0.248
Zn8 0.923 0.414 0.248
Zn9 0.335 0.335 0.995
Ho1 0.000 0.000 0.000
# Electronic total energy = -2.409 eV per atom
# ρ = 8.35 g cm⁻³
# Formation energy from the elements = -312 meV/atom

=====

[13]
# PmHo2Er GGA-PBE relaxed
data_PmHo2Er
_cell_length_a 5.023
_cell_length_b 5.019
_cell_length_c 5.019
_cell_angle_alpha 90.00
_cell_angle_beta 90.00
_cell_angle_gamma 90.00
_space_group_name_H-M_alt 'P 1'
_space_group_IT_number 1
_space_group_name_Hall 'P 1'
loop_
_atom_site_label
_atom_site_fract_x
_atom_site_fract_y
_atom_site_fract_z
Er1 0.500 0.000 0.000
Pm1 0.500 0.500 0.500
Ho1 0.000 0.000 0.500
Ho2 0.000 0.500 0.000
# E above lowest polymorph = 0.02 eV/f.u.
# Electronic total energy = -4.595 eV per atom
# ρ = 8.43 g cm⁻³
# Formation energy from the elements = 22 meV/atom

=====

[14]
# Pr4AsSe3 GGA-PBE relaxed
data_Pr4AsSe3
_cell_length_a 4.265
_cell_length_b 7.422
_cell_length_c 7.422
_cell_angle_alpha 109.23
_cell_angle_beta 90.00
_cell_angle_gamma 90.00
_space_group_name_H-M_alt 'P 1'
_space_group_IT_number 1
_space_group_name_Hall 'P 1'
loop_
_atom_site_label
_atom_site_fract_x
_atom_site_fract_y
_atom_site_fract_z
Pr1 0.500 0.755 0.245
Pr2 0.000 0.241 0.241
Pr3 0.500 0.245 0.755
Pr4 0.000 0.759 0.759
Se1 0.000 0.000 0.500
Se2 0.000 0.500 0.000
Se3 0.500 0.500 0.500
As1 0.500 0.000 0.000
# Electronic total energy = -6.075 eV per atom
# ρ = 6.55 g cm⁻³
# E_form (uncorrected) = -1797 meV/atom

=====

[15]
# Ho2Tm12Th5 GGA-PBE relaxed
data_Ho2Tm12Th5
_cell_length_a 7.008
_cell_length_b 9.903
_cell_length_c 10.092
_cell_angle_alpha 68.10
_cell_angle_beta 90.00
_cell_angle_gamma 110.72
_space_group_name_H-M_alt 'P 1'
_space_group_IT_number 1
_space_group_name_Hall 'P 1'
loop_
_atom_site_label
_atom_site_fract_x
_atom_site_fract_y
_atom_site_fract_z
Tm1 0.403 0.314 0.138
Tm2 0.597 0.686 0.862
Tm3 0.586 0.668 0.513
Tm4 0.496 0.991 0.323
Tm5 0.082 0.668 0.513
Tm6 0.911 0.314 0.138
Tm7 0.504 0.009 0.677
Tm8 0.973 0.947 0.235
Tm9 0.089 0.686 0.862
Tm10 0.918 0.332 0.487
Tm11 0.027 0.053 0.765
Tm12 0.414 0.332 0.487
Th1 0.320 0.640 0.210
Th2 0.000 0.000 0.500
Th3 0.813 0.626 0.183
Th4 0.187 0.374 0.817
Th5 0.680 0.360 0.790
Ho1 0.715 0.000 0.000
Ho2 0.285 0.000 0.000
# Electronic total energy = -5.041 eV per atom
# ρ = 9.72 g cm⁻³
# Formation energy from the elements = 218 meV/atom

=====

[16]
# ZrAsSe2I GGA-PBE relaxed
data_ZrAsSe2I
_cell_length_a 5.225
_cell_length_b 5.225
_cell_length_c 5.341
_cell_angle_alpha 90.00
_cell_angle_beta 90.00
_cell_angle_gamma 90.00
_space_group_name_H-M_alt 'P 1'
_space_group_IT_number 1
_space_group_name_Hall 'P 1'
loop_
_atom_site_label
_atom_site_fract_x
_atom_site_fract_y
_atom_site_fract_z
Se1 0.000 0.500 0.000
Se2 0.500 0.000 0.000
Zr1 0.500 0.500 0.500
I1 0.000 0.000 0.000
As1 0.000 0.000 0.500
# E above lowest polymorph = 5.53 eV/f.u.
# Electronic total energy = -3.376 eV per atom
# ρ = 5.13 g cm⁻³
# E_form (uncorrected) = 968 meV/atom

=====

[17]
# RbMnZnBr5 GGA-PBE relaxed
data_RbMnZnBr5
_cell_length_a 7.768
_cell_length_b 7.768
_cell_length_c 9.818
_cell_angle_alpha 103.47
_cell_angle_beta 103.47
_cell_angle_gamma 105.63
_space_group_name_H-M_alt 'P 1'
_space_group_IT_number 1
_space_group_name_Hall 'P 1'
loop_
_atom_site_label
_atom_site_fract_x
_atom_site_fract_y
_atom_site_fract_z
Mn1 0.000 0.000 0.000
Mn2 0.000 0.000 0.500
Br1 0.068 0.932 0.250
Br2 0.093 0.691 0.894
Br3 0.309 0.907 0.606
Br4 0.381 0.233 0.065
Br5 0.619 0.767 0.935
Br6 0.233 0.381 0.565
Br7 0.767 0.619 0.435
Br8 0.691 0.093 0.394
Br9 0.907 0.309 0.106
Br10 0.932 0.068 0.750
Zn1 0.311 0.689 0.750
Zn2 0.689 0.311 0.250
Rb1 0.346 0.654 0.250
Rb2 0.654 0.346 0.750
# Electronic total energy = -3.525 eV per atom
# ρ = 3.82 g cm⁻³
# E_form (uncorrected) = -1053 meV/atom

=====

[18]
# Zr6Zn5Mo GGA-PBE relaxed
data_Zr6Zn5Mo
_cell_length_a 4.750
_cell_length_b 6.678
_cell_length_c 7.478
_cell_angle_alpha 90.00
_cell_angle_beta 71.44
_cell_angle_gamma 90.00
_space_group_name_H-M_alt 'P 1'
_space_group_IT_number 1
_space_group_name_Hall 'P 1'
loop_
_atom_site_label
_atom_site_fract_x
_atom_site_fract_y
_atom_site_fract_z
Zn1 0.331 0.500 0.338
Zn2 0.665 0.000 0.670
Zn3 0.335 0.000 0.330
Zn4 0.000 0.500 0.000
Zn5 0.669 0.500 0.662
Zr1 0.500 0.250 0.000
Zr2 0.165 0.752 0.670
Zr3 0.500 0.750 0.000
Zr4 0.835 0.752 0.330
Zr5 0.165 0.248 0.670
Zr6 0.835 0.248 0.330
Mo1 0.000 0.000 0.000
# Electronic total energy = -5.960 eV per atom
# ρ = 7.16 g cm⁻³
# Formation energy from the elements = -253 meV/atom

=====

[19]
# Tb3Zr2PaAs6 GGA-PBE relaxed
data_Tb3Zr2PaAs6
_cell_length_a 6.970
_cell_length_b 6.970
_cell_length_c 7.033
_cell_angle_alpha 99.53
_cell_angle_beta 99.53
_cell_angle_gamma 120.01
_space_group_name_H-M_alt 'P 1'
_space_group_IT_number 1
_space_group_name_Hall 'P 1'
loop_
_atom_site_label
_atom_site_fract_x
_atom_site_fract_y
_atom_site_fract_z
Tb1 0.165 0.835 0.500
Tb2 0.500 0.500 0.500
Tb3 0.835 0.165 0.500
Zr1 0.333 0.667 0.000
Zr2 0.667 0.333 0.000
As1 0.741 0.741 0.237
As2 0.259 0.259 0.763
As3 0.080 0.418 0.240
As4 0.920 0.582 0.760
As5 0.418 0.080 0.240
As6 0.582 0.920 0.760
Pa1 0.000 0.000 0.000
# Electronic total energy = -7.013 eV per atom
# ρ = 7.97 g cm⁻³
# Formation energy from the elements = -1314 meV/atom

=====

[20]
# Pr3Al7Rh4 GGA-PBE relaxed
data_Pr3Al7Rh4
_cell_length_a 4.307
_cell_length_b 8.143
_cell_length_c 8.493
_cell_angle_alpha 71.04
_cell_angle_beta 75.31
_cell_angle_gamma 74.66
_space_group_name_H-M_alt 'P 1'
_space_group_IT_number 1
_space_group_name_Hall 'P 1'
loop_
_atom_site_label
_atom_site_fract_x
_atom_site_fract_y
_atom_site_fract_z
Al1 0.505 0.782 0.209
Al2 0.846 0.387 0.921
Al3 0.684 0.154 0.478
Al4 0.316 0.846 0.522
Al5 0.495 0.218 0.791
Al6 0.000 0.000 0.000
Al7 0.154 0.613 0.079
Pr1 0.308 0.187 0.197
Pr2 0.000 0.500 0.500
Pr3 0.692 0.813 0.803
Rh1 0.338 0.536 0.789
Rh2 0.109 0.116 0.666
Rh3 0.662 0.464 0.211
Rh4 0.891 0.884 0.334
# Electronic total energy = -5.756 eV per atom
# ρ = 6.36 g cm⁻³
# Formation energy from the elements = -760 meV/atom